No. 1
A plane-wave DFT calculation with PBE was carried out for crystalline Y2ScTe at its relaxed geometry.

Cell: 4.535 4.535 10.543 Å, 90.00 90.00 90.00°
Atoms (fractional coordinates):
Y1 0.000 0.000 0.000
Y2 0.000 0.500 0.250
Y3 0.500 0.000 0.750
Y4 0.500 0.500 0.500
Sc1 0.000 0.500 0.750
Sc2 0.500 0.000 0.250
Te1 0.000 0.000 0.500
Te2 0.500 0.500 0.000

## Properties
magnetic moment = 0.73 μB/f.u.
total energy = -24.092 eV/f.u.

No. 2
A plane-wave DFT calculation with PBE was carried out for crystalline YScTe2 at its relaxed geometry.

Cell: 4.291 4.291 28.521 Å, 90.00 90.00 120.00°
Atoms (fractional coordinates):
Y1 0.000 0.000 0.000
Y2 0.333 0.667 0.667
Y3 0.667 0.333 0.333
Sc1 0.000 0.000 0.768
Sc2 0.333 0.667 0.435
Sc3 0.667 0.333 0.102
Te1 0.000 0.000 0.277
Te2 0.000 0.000 0.482
Te3 0.333 0.667 0.149
Te4 0.333 0.667 0.943
Te5 0.667 0.333 0.610
Te6 0.667 0.333 0.815

## Properties
magnetic moment = 2.03 μB/f.u.
total energy = -21.809 eV/f.u.

No. 3
A plane-wave DFT calculation with PBE was carried out for crystalline Y2ScTe at its relaxed geometry.

Cell: 3.787 3.787 7.737 Å, 90.00 90.00 90.00°
Atoms (fractional coordinates):
Y1 0.000 0.000 0.000
Y2 0.500 0.500 0.299
Sc1 0.000 0.000 0.558
Te1 0.500 0.500 0.743

## Properties
magnetic moment = 0.00 μB/f.u.
total energy = -24.558 eV/f.u.

No. 4
A plane-wave DFT calculation with PBE was carried out for crystalline Y2ScTe3 at its relaxed geometry.

Cell: 4.310 6.077 12.902 Å, 90.00 90.00 90.00°
Atoms (fractional coordinates):
Y1 0.000 0.000 0.174
Y2 0.000 0.000 0.826
Y3 0.500 0.500 0.326
Y4 0.500 0.500 0.674
Sc1 0.000 0.000 0.500
Sc2 0.500 0.500 0.000
Te1 0.000 0.500 0.156
Te2 0.000 0.500 0.500
Te3 0.000 0.500 0.844
Te4 0.500 0.000 0.000
Te5 0.500 0.000 0.344
Te6 0.500 0.000 0.656

## Properties
magnetic moment = 0.00 μB/f.u.
total energy = -36.080 eV/f.u.

No. 5
A plane-wave DFT calculation with PBE was carried out for crystalline YSc2Te4 at its relaxed geometry.

Cell: 5.855 5.855 14.348 Å, 90.00 90.00 90.00°
Atoms (fractional coordinates):
Y1 0.000 0.000 0.000
Y2 0.500 0.500 0.500
Sc1 0.000 0.000 0.392
Sc2 0.000 0.000 0.608
Sc3 0.500 0.500 0.108
Sc4 0.500 0.500 0.892
Te1 0.000 0.000 0.208
Te2 0.000 0.000 0.792
Te3 0.000 0.500 0.000
Te4 0.000 0.500 0.500
Te5 0.500 0.000 0.000
Te6 0.500 0.000 0.500
Te7 0.500 0.500 0.292
Te8 0.500 0.500 0.708

## Properties
magnetic moment = 0.75 μB/f.u.
total energy = -36.615 eV/f.u.

No. 6
A plane-wave DFT calculation with PBE was carried out for crystalline Y2ScTe4 at its relaxed geometry.

Cell: 15.805 4.280 7.535 Å, 90.00 118.30 90.00°
Atoms (fractional coordinates):
Y1 0.243 0.000 0.229
Y2 0.257 0.500 0.771
Y3 0.743 0.500 0.229
Y4 0.757 0.000 0.771
Sc1 0.000 0.500 0.500
Sc2 0.500 0.000 0.500
Te1 0.114 0.500 0.940
Te2 0.123 0.000 0.461
Te3 0.377 0.500 0.539
Te4 0.386 0.000 0.060
Te5 0.614 0.000 0.940
Te6 0.623 0.500 0.461
Te7 0.877 0.000 0.539
Te8 0.886 0.500 0.060

## Properties
magnetic moment = 0.00 μB/f.u.
total energy = -41.293 eV/f.u.

Record order is preserved below.
Energy relative to the elements, uncorrected: -0.423; -0.683; -0.539; -1.233; -0.703; -1.352 eV per atom
Record order is preserved below.
DOS at the Fermi energy: 11.4; 5.8; 5.0; 7.3; 6.6; 7.0 states/eV per cell